(1)
Pm6Ge2I3Br (GGA-PBE, optimized geometry); magnetization = 0.00 μB/atom; energy = -56.091 eV per formula unit
1.0
7.497 -0.004 0.000
-3.751 6.492 0.000
-1.250 -2.165 7.576
I Br Ge Pm
3 1 2 6
Direct
0.833 0.167 0.500 I
0.500 0.500 0.500 I
0.167 0.833 0.500 I
0.000 0.000 0.000 Br
0.667 0.333 0.000 Ge
0.333 0.667 0.000 Ge
0.279 0.279 0.803 Pm
0.934 0.588 0.802 Pm
0.412 0.066 0.198 Pm
0.721 0.721 0.197 Pm
0.066 0.412 0.198 Pm
0.588 0.934 0.802 Pm

(2)
Pm8Ge3I4Br (GGA-PBE, optimized geometry); magnetization = 0.00 μB/atom; energy = -75.903 eV per formula unit
1.0
8.678 0.000 0.000
0.000 9.065 0.271
-4.339 -4.338 6.138
I Pm Ge Br
4 8 3 1
Direct
0.500 0.000 0.500 I
0.000 0.000 0.000 I
0.000 0.000 0.500 I
0.500 0.000 0.000 I
0.758 0.300 0.516 Pm
0.242 0.700 0.484 Pm
0.284 0.300 0.042 Pm
0.758 0.300 0.042 Pm
0.242 0.700 0.958 Pm
0.733 0.698 0.465 Pm
0.267 0.302 0.535 Pm
0.716 0.700 0.958 Pm
0.000 0.500 0.500 Ge
0.500 0.500 0.000 Ge
0.500 0.500 0.500 Ge
0.000 0.500 0.000 Br

(3)
Pr4GeI2Br (GGA-PBE, optimized geometry); magnetization = 0.00 μB/atom; energy = -36.524 eV per formula unit
1.0
4.397 0.000 0.000
0.000 7.325 0.039
0.000 -2.659 7.871
Pr Ge I Br
4 1 2 1
Direct
0.000 0.271 0.799 Pr
0.000 0.729 0.201 Pr
0.500 0.764 0.801 Pr
0.500 0.236 0.199 Pr
0.500 0.500 0.000 Ge
0.000 0.500 0.500 I
0.500 0.000 0.500 I
0.000 0.000 0.000 Br